## CaPu2Rh (GGA-PBE)

Data for a geometry-optimized CaPu2Rh structure.

For the formation energy, the calculation gives -0.04 eV/atom. For the energy above the most stable polymorph in this dataset, the calculation gives 47 meV/atom.

Geometry as POSCAR:
```
CaPu2Rh
1.0
-0.024 -1.111 -3.696
-3.135 -1.688 -1.487
-4.398 7.492 -4.239
Ca Rh Pu
1 1 2
Direct
0.500 0.500 0.500
0.000 0.000 0.000
0.275 0.275 0.174
0.725 0.725 0.826
```